Entry 1:
A plane-wave DFT calculation with PBE was carried out for Sm3SiS6Cl after structural relaxation.

Computed properties:
* SG: Pnma (62)
* ΔE to the lowest computed polymorph: 0 meV/atom
* density of states at the Fermi level: 0.000 states/eV per cell
* calculated volume: 2105 Å³/cell
* energy relative to the elements, uncorrected: -1.737 eV/atom

Lattice parameters (Å, degrees): 12.4931 10.3759 16.2376 90.00 90.00 90.00
Atoms (fractional coordinates):
1 Sm 0.1160 0.2500 0.1242
2 Sm 0.1188 0.5356 0.6117
3 Sm 0.1188 0.9644 0.6117
4 Sm 0.1223 0.7500 0.1388
5 Sm 0.1874 0.0435 0.9052
6 Sm 0.1874 0.4565 0.9052
7 Sm 0.3126 0.5435 0.4052
8 Sm 0.3126 0.9565 0.4052
9 Sm 0.3777 0.2500 0.6388
10 Sm 0.3812 0.0356 0.1117
11 Sm 0.3812 0.4644 0.1117
12 Sm 0.3840 0.7500 0.6242
13 Sm 0.6160 0.2500 0.3758
14 Sm 0.6188 0.5356 0.8883
15 Sm 0.6188 0.9644 0.8883
16 Sm 0.6223 0.7500 0.3612
17 Sm 0.6874 0.0435 0.5948
18 Sm 0.6874 0.4565 0.5948
19 Sm 0.8126 0.5435 0.0948
20 Sm 0.8126 0.9565 0.0948
21 Sm 0.8777 0.2500 0.8612
22 Sm 0.8812 0.0356 0.3883
23 Sm 0.8812 0.4644 0.3883
24 Sm 0.8840 0.7500 0.8758
25 Si 0.1176 0.2500 0.7410
26 Si 0.1636 0.7500 0.7769
27 Si 0.3364 0.2500 0.2769
28 Si 0.3824 0.7500 0.2410
29 Si 0.6176 0.2500 0.7590
30 Si 0.6636 0.7500 0.7231
31 Si 0.8364 0.2500 0.2231
32 Si 0.8824 0.7500 0.2590
33 S 0.0207 0.7500 0.7063
34 S 0.0288 0.0815 0.7706
35 S 0.0288 0.4185 0.7706
36 S 0.0636 0.2500 0.9534
37 S 0.1172 0.7500 0.9026
38 S 0.1457 0.2500 0.6119
39 S 0.1572 0.5103 0.0688
40 S 0.1572 0.9897 0.0688
41 S 0.1869 0.7500 0.5290
42 S 0.2286 0.7500 0.3021
43 S 0.2388 0.0894 0.2458
44 S 0.2388 0.4106 0.2458
45 S 0.2612 0.5894 0.7458
46 S 0.2612 0.9106 0.7458
47 S 0.2714 0.2500 0.8021
48 S 0.3131 0.2500 0.0290
49 S 0.3428 0.0103 0.5688
50 S 0.3428 0.4897 0.5688
51 S 0.3543 0.7500 0.1119
52 S 0.3828 0.2500 0.4026
53 S 0.4364 0.7500 0.4534
54 S 0.4712 0.5815 0.2706
55 S 0.4712 0.9185 0.2706
56 S 0.4793 0.2500 0.2063
57 S 0.5207 0.7500 0.7937
58 S 0.5288 0.0815 0.7294
59 S 0.5288 0.4185 0.7294
60 S 0.5636 0.2500 0.5466
61 S 0.6172 0.7500 0.5974
62 S 0.6457 0.2500 0.8881
63 S 0.6572 0.5103 0.4312
64 S 0.6572 0.9897 0.4312
65 S 0.6869 0.7500 0.9710
66 S 0.7286 0.7500 0.1979
67 S 0.7388 0.0894 0.2542
68 S 0.7388 0.4106 0.2542
69 S 0.7612 0.5894 0.7542
70 S 0.7612 0.9106 0.7542
71 S 0.7714 0.2500 0.6979
72 S 0.8131 0.2500 0.4710
73 S 0.8428 0.0103 0.9312
74 S 0.8428 0.4897 0.9312
75 S 0.8543 0.7500 0.3881
76 S 0.8828 0.2500 0.0974
77 S 0.9364 0.7500 0.0466
78 S 0.9712 0.5815 0.2294
79 S 0.9712 0.9185 0.2294
80 S 0.9793 0.2500 0.2937
81 Cl 0.1032 0.0413 0.4397
82 Cl 0.1032 0.4587 0.4397
83 Cl 0.3968 0.5413 0.9397
84 Cl 0.3968 0.9587 0.9397
85 Cl 0.6032 0.0413 0.0603
86 Cl 0.6032 0.4587 0.0603
87 Cl 0.8968 0.5413 0.5603
88 Cl 0.8968 0.9587 0.5603

Entry 2:
A plane-wave DFT calculation with PBE was carried out for Re2OsSe after structural relaxation.

Computed properties:
* SG: P2/m (10)
* density of states at the Fermi level: 3.072 states/eV per cell
* calculated volume: 60 Å³/cell
* energy relative to the elements, uncorrected: 0.534 eV/atom

Lattice parameters (Å, degrees): 2.8672 4.0634 5.3501 90.00 104.43 90.00
Atoms (fractional coordinates):
1 Re 0.1267 0.0000 0.2537
2 Re 0.8733 0.0000 0.7463
3 Os 0.5000 0.5000 0.0000
4 Se 0.5000 0.5000 0.5000

Entry 3:
A plane-wave DFT calculation with PBE was carried out for Ho6Tl2BiTe3 after structural relaxation.

Computed properties:
* SG: C2/m (12)
* density of states at the Fermi level: 4.900 states/eV per cell
* calculated volume: 350 Å³/cell
* energy relative to the elements, uncorrected: -0.880 eV/atom

Lattice parameters (Å, degrees): 10.0331 10.0331 8.7942 110.98 110.98 25.19
Atoms (fractional coordinates):
1 Ho 0.0122 0.0122 0.2584
2 Ho 0.3277 0.3277 0.8544
3 Ho 0.3390 0.3390 0.3586
4 Ho 0.6610 0.6610 0.6414
5 Ho 0.6723 0.6723 0.1456
6 Ho 0.9878 0.9878 0.7416
7 Tl 0.1869 0.1869 0.4119
8 Tl 0.8131 0.8131 0.5881
9 Bi 0.5000 0.5000 0.0000
10 Te 0.1618 0.1618 0.8842
11 Te 0.5000 0.5000 0.5000
12 Te 0.8382 0.8382 0.1158

Entry 4:
A plane-wave DFT calculation with PBE was carried out for Cd3Pd5Au3 after structural relaxation.

Computed properties:
* SG: P-62m (189)
* ΔE to the lowest computed polymorph: 56 meV/atom
* calculated formation energy: 0.134 eV/atom
* density of states at the Fermi level: 2.695 states/eV per cell
* calculated volume: 264 Å³/cell

Lattice parameters (Å, degrees): 8.1289 8.1289 4.6123 90.00 90.00 120.00
Atoms (fractional coordinates):
1 Cd 0.0000 0.4923 0.0000
2 Cd 0.4923 0.0000 0.0000
3 Cd 0.5077 0.5077 0.0000
4 Pd 0.0000 0.3276 0.5000
5 Pd 0.3276 0.0000 0.5000
6 Pd 0.3333 0.6667 0.5000
7 Pd 0.6667 0.3333 0.5000
8 Pd 0.6724 0.6724 0.5000
9 Au 0.0000 0.6835 0.5000
10 Au 0.3165 0.3165 0.5000
11 Au 0.6835 0.0000 0.5000

Entry 5:
A plane-wave DFT calculation with PBE was carried out for Cs5Cd5Au2 after structural relaxation.

Computed properties:
* SG: C2/m (12)
* calculated formation energy: -0.125 eV/atom
* density of states at the Fermi level: 6.309 states/eV per cell
* calculated volume: 547 Å³/cell

Lattice parameters (Å, degrees): 9.8908 9.8908 14.0824 124.41 124.41 29.28
Atoms (fractional coordinates):
1 Cs 0.0000 0.0000 0.0000
2 Cs 0.3021 0.3021 0.4178
3 Cs 0.3790 0.3790 0.1791
4 Cs 0.6210 0.6210 0.8209
5 Cs 0.6979 0.6979 0.5822
6 Cd 0.0000 0.0000 0.5000
7 Cd 0.0666 0.0666 0.3248
8 Cd 0.3035 0.3035 0.8434
9 Cd 0.6965 0.6965 0.1566
10 Cd 0.9334 0.9334 0.6752
11 Au 0.3908 0.3908 0.7359
12 Au 0.6092 0.6092 0.2641

Entry 6:
A plane-wave DFT calculation with PBE was carried out for Fe2ReNiAs after structural relaxation.

Computed properties:
* SG: P4/mmm (123)
* calculated formation energy: 1.195 eV/atom
* density of states at the Fermi level: 4.716 states/eV per cell
* calculated volume: 78 Å³/cell

Lattice parameters (Å, degrees): 4.3295 4.3295 4.1607 90.00 90.00 90.00
Atoms (fractional coordinates):
1 Fe 0.0000 0.5000 0.0000
2 Fe 0.5000 0.0000 0.0000
3 Re 0.0000 0.0000 0.5000
4 Ni 0.5000 0.5000 0.0000
5 As 0.5000 0.5000 0.5000

Entry 7:
A plane-wave DFT calculation with PBE was carried out for Cr2IrCl after structural relaxation.

Computed properties:
* SG: C2/m (12)
* ΔE to the lowest computed polymorph: 204 meV/atom
* density of states at the Fermi level: 2.388 states/eV per cell
* calculated volume: 72 Å³/cell
* energy relative to the elements, uncorrected: 0.280 eV/atom

Lattice parameters (Å, degrees): 4.6314 4.6314 7.0893 124.03 124.03 35.63
Atoms (fractional coordinates):
1 Cr 0.2157 0.2157 0.3608
2 Cr 0.7843 0.7843 0.6392
3 Ir 0.0000 0.0000 0.5000
4 Cl 0.5000 0.5000 0.0000

Entry 8:
A plane-wave DFT calculation with PBE was carried out for ThGaRh after structural relaxation.

Computed properties:
* SG: I4mm (107)
* calculated formation energy: -0.459 eV/atom
* density of states at the Fermi level: 1.255 states/eV per cell
* calculated volume: 68 Å³/cell

Lattice parameters (Å, degrees): 5.3236 5.3236 5.3236 137.48 137.48 61.70
Atoms (fractional coordinates):
1 Th 0.0000 0.0000 0.0000
2 Ga 0.3248 0.3248 0.0000
3 Rh 0.6140 0.6140 0.0000

Entry 9:
A plane-wave DFT calculation with PBE was carried out for ZnSn2BiC after structural relaxation.

Computed properties:
* SG: P4/mmm (123)
* calculated formation energy: 0.875 eV/atom
* density of states at the Fermi level: 2.489 states/eV per cell
* calculated volume: 120 Å³/cell

Lattice parameters (Å, degrees): 5.7356 5.7356 3.6540 90.00 90.00 90.00
Atoms (fractional coordinates):
1 Zn 0.0000 0.0000 0.0000
2 Sn 0.0000 0.5000 0.0000
3 Sn 0.5000 0.0000 0.0000
4 Bi 0.5000 0.5000 0.5000
5 C 0.0000 0.0000 0.5000

Entry 10:
A plane-wave DFT calculation with PBE was carried out for KScZn2 after structural relaxation.

Computed properties:
* SG: I-42d (122)
* ΔE to the lowest computed polymorph: 444 meV/atom
* calculated formation energy: 0.436 eV/atom
* density of states at the Fermi level: 4.242 states/eV per cell
* calculated volume: 226 Å³/cell

Lattice parameters (Å, degrees): 6.6837 6.6837 6.6837 105.60 105.60 117.53
Atoms (fractional coordinates):
1 K 0.0000 0.0000 0.0000
2 K 0.7500 0.2500 0.5000
3 Sc 0.2500 0.7500 0.5000
4 Sc 0.5000 0.5000 0.0000
5 Zn 0.1676 0.6250 0.0426
6 Zn 0.3750 0.4176 0.5426
7 Zn 0.5824 0.1250 0.9574
8 Zn 0.8750 0.8324 0.4574

Entry 11:
A plane-wave DFT calculation with PBE was carried out for HgP2 after structural relaxation.

Computed properties:
* SG: Cm (8)
* calculated formation energy: 0.141 eV/atom
* density of states at the Fermi level: 1.130 states/eV per cell
* calculated volume: 139 Å³/cell

Lattice parameters (Å, degrees): 4.6533 4.6533 10.3554 108.03 108.03 41.23
Atoms (fractional coordinates):
1 Hg 0.0000 0.0000 0.0000
2 Hg 0.6186 0.6186 0.2502
3 P 0.2244 0.2244 0.6888
4 P 0.4349 0.4349 0.4091
5 P 0.7033 0.7033 0.8267
6 P 0.9603 0.9603 0.5570

Entry 12:
A plane-wave DFT calculation with PBE was carried out for CoSi4Ni3 after structural relaxation.

Computed properties:
* SG: Pm (6)
* density of states at the Fermi level: 2.819 states/eV per cell
* calculated volume: 97 Å³/cell
* energy relative to the elements, uncorrected: -0.520 eV/atom

Lattice parameters (Å, degrees): 5.3010 3.1560 5.7733 90.00 90.12 90.00
Atoms (fractional coordinates):
1 Co 0.0000 0.0000 0.0000
2 Si 0.1740 0.0000 0.6227
3 Si 0.3047 0.5000 0.1149
4 Si 0.6786 0.0000 0.2599
5 Si 0.8165 0.5000 0.7658
6 Ni 0.4896 0.5000 0.4995
7 Ni 0.5015 0.0000 0.8790
8 Ni 0.9883 0.5000 0.3823

Entry 13:
A plane-wave DFT calculation with PBE was carried out for Y2TlF2 after structural relaxation.

Computed properties:
* SG: I4/mmm (139)
* density of states at the Fermi level: 1.465 states/eV per cell
* calculated volume: 97 Å³/cell
* energy relative to the elements, uncorrected: -2.308 eV/atom

Lattice parameters (Å, degrees): 7.2911 7.2911 7.2911 149.94 149.94 43.04
Atoms (fractional coordinates):
1 Y 0.1379 0.1379 0.0000
2 Y 0.8621 0.8621 0.0000
3 Tl 0.5000 0.5000 0.0000
4 F 0.2500 0.7500 0.5000
5 F 0.7500 0.2500 0.5000

Entry 14:
A plane-wave DFT calculation with PBE was carried out for PrYPa after structural relaxation.

Computed properties:
* SG: I4mm (107)
* ΔE to the lowest computed polymorph: 17 meV/atom
* calculated formation energy: 0.188 eV/atom
* density of states at the Fermi level: 4.788 states/eV per cell
* calculated volume: 92 Å³/cell

Lattice parameters (Å, degrees): 8.2054 8.2054 8.2054 155.89 155.89 34.35
Atoms (fractional coordinates):
1 Pr 0.0000 0.0000 0.0000
2 Y 0.3085 0.3085 0.0000
3 Pa 0.6564 0.6564 0.0000

Entry 15:
A plane-wave DFT calculation with PBE was carried out for LiY2CCl after structural relaxation.

Computed properties:
* SG: P4/mmm (123)
* density of states at the Fermi level: 2.477 states/eV per cell
* calculated volume: 91 Å³/cell
* energy relative to the elements, uncorrected: 0.236 eV/atom

Lattice parameters (Å, degrees): 5.0689 5.0689 3.5511 90.00 90.00 90.00
Atoms (fractional coordinates):
1 Li 0.0000 0.0000 0.0000
2 Y 0.0000 0.5000 0.0000
3 Y 0.5000 0.0000 0.0000
4 C 0.0000 0.0000 0.5000
5 Cl 0.5000 0.5000 0.5000

Entry 16:
A plane-wave DFT calculation with PBE was carried out for TlAgClF2 after structural relaxation.

Computed properties:
* SG: P4/mmm (123)
* density of states at the Fermi level: 0.985 states/eV per cell
* calculated volume: 102 Å³/cell
* energy relative to the elements, uncorrected: -1.147 eV/atom

Lattice parameters (Å, degrees): 4.5074 4.5074 5.0326 90.00 90.00 90.00
Atoms (fractional coordinates):
1 Tl 0.0000 0.0000 0.0000
2 Ag 0.5000 0.5000 0.5000
3 Cl 0.5000 0.5000 0.0000
4 F 0.0000 0.5000 0.5000
5 F 0.5000 0.0000 0.5000

Entry 17:
A plane-wave DFT calculation with PBE was carried out for RbAcPbBr6 after structural relaxation.

Computed properties:
* SG: P4_2nm (102)
* density of states at the Fermi level: 0.000 states/eV per cell
* calculated volume: 796 Å³/cell
* energy relative to the elements, uncorrected: -1.585 eV/atom

Lattice parameters (Å, degrees): 7.4418 7.4418 14.3717 90.00 90.00 90.00
Atoms (fractional coordinates):
1 Rb 0.0000 0.0000 0.0000
2 Rb 0.5000 0.5000 0.5000
3 Ac 0.0000 0.0000 0.3339
4 Ac 0.5000 0.5000 0.8339
5 Pb 0.0000 0.0000 0.6686
6 Pb 0.5000 0.5000 0.1686
7 Br 0.1791 0.1791 0.5021
8 Br 0.2084 0.2084 0.1862
9 Br 0.2106 0.2106 0.8183
10 Br 0.2894 0.7106 0.3183
11 Br 0.2916 0.7084 0.6862
12 Br 0.3209 0.6791 0.0021
13 Br 0.6791 0.3209 0.0021
14 Br 0.7084 0.2916 0.6862
15 Br 0.7106 0.2894 0.3183
16 Br 0.7894 0.7894 0.8183
17 Br 0.7916 0.7916 0.1862
18 Br 0.8209 0.8209 0.5021

Entry 18:
A plane-wave DFT calculation with PBE was carried out for Ag8PdAu2 after structural relaxation.

Computed properties:
* SG: C2/m (12)
* ΔE to the lowest computed polymorph: 0 meV/atom
* calculated formation energy: 0.120 eV/atom
* density of states at the Fermi level: 3.340 states/eV per cell
* calculated volume: 210 Å³/cell

Lattice parameters (Å, degrees): 7.4899 7.4899 4.8243 102.71 102.71 120.30
Atoms (fractional coordinates):
1 Ag 0.0952 0.3149 0.6321
2 Ag 0.2084 0.7916 0.0000
3 Ag 0.3149 0.0952 0.6321
4 Ag 0.4019 0.4019 0.1887
5 Ag 0.5981 0.5981 0.8113
6 Ag 0.6851 0.9048 0.3679
7 Ag 0.7916 0.2084 0.0000
8 Ag 0.9048 0.6851 0.3679
9 Pd 0.0000 0.0000 0.0000
10 Au 0.3066 0.6934 0.5000
11 Au 0.6934 0.3066 0.5000

Entry 19:
A plane-wave DFT calculation with PBE was carried out for Na2BePH after structural relaxation.

Computed properties:
* SG: P2_1/m (11)
* ΔE to the lowest computed polymorph: 0 meV/atom
* density of states at the Fermi level: 0.000 states/eV per cell
* calculated volume: 166 Å³/cell

Lattice parameters (Å, degrees): 5.8481 3.6775 8.2164 90.00 109.97 90.00
Atoms (fractional coordinates):
1 Na 0.1832 0.2500 0.4083
2 Na 0.2255 0.2500 0.9513
3 Na 0.7745 0.7500 0.0487
4 Na 0.8168 0.7500 0.5917
5 Be 0.4518 0.7500 0.2417
6 Be 0.5482 0.2500 0.7583
7 P 0.3620 0.7500 0.7139
8 P 0.6380 0.2500 0.2861
9 H 0.1854 0.7500 0.1657
10 H 0.8146 0.2500 0.8343

Entry 20:
A plane-wave DFT calculation with PBE was carried out for Sc2CoIrC after structural relaxation.

Computed properties:
* SG: P4/mmm (123)
* calculated formation energy: -0.498 eV/atom
* density of states at the Fermi level: 3.511 states/eV per cell
* calculated volume: 74 Å³/cell

Lattice parameters (Å, degrees): 4.5711 4.5711 3.5261 90.00 90.00 90.00
Atoms (fractional coordinates):
1 Sc 0.0000 0.5000 0.0000
2 Sc 0.5000 0.0000 0.0000
3 Co 0.0000 0.0000 0.5000
4 Ir 0.5000 0.5000 0.5000
5 C 0.0000 0.0000 0.0000